! GaI GGA-PBE relaxed; values from VASP
! - VASP energy (eV per atom) = -2.5297
! - M_tot (μB/f.u.) = 0.0
&SYSTEM
  ibrav = 0, nat = 8, ntyp = 2
/
ATOMIC_SPECIES
Ga 69.72 Ga.upf
I 126.90 I.upf
CELL_PARAMETERS angstrom
7.452 0.000 0.000
0.000 7.452 0.000
0.000 0.000 7.452
ATOMIC_POSITIONS angstrom
Ga 1.863 1.863 1.863
Ga 1.863 5.589 5.589
Ga 5.589 1.863 5.589
Ga 5.589 5.589 1.863
I 0.000 0.000 0.000
I 0.000 3.726 3.726
I 3.726 0.000 3.726
I 3.726 3.726 0.000

! Ag2PRh GGA-PBE relaxed; values from VASP
! - VASP energy (eV per atom) = -4.3652
! - M_tot (μB/f.u.) = 0.0
! - formation energy from the elements (eV per atom) = 0.251
&SYSTEM
  ibrav = 0, nat = 4, ntyp = 3
/
ATOMIC_SPECIES
Ag 107.87 Ag.upf
P 30.97 P.upf
Rh 102.91 Rh.upf
CELL_PARAMETERS angstrom
0.000 3.164 3.164
3.164 0.000 3.164
3.164 3.164 0.000
ATOMIC_POSITIONS angstrom
Ag 0.000 0.000 0.000
Ag 4.746 4.746 4.746
P 3.164 3.164 3.164
Rh 1.582 1.582 1.582

! MgAsRu2 GGA-PBE relaxed; values from VASP
! - VASP energy (eV per atom) = -6.0393
! - M_tot (μB/f.u.) = 0.0
! - formation energy from the elements (eV per atom) = 0.160
&SYSTEM
  ibrav = 0, nat = 4, ntyp = 3
/
ATOMIC_SPECIES
As 74.92 As.upf
Mg 24.30 Mg.upf
Ru 101.07 Ru.upf
CELL_PARAMETERS angstrom
3.181 0.000 0.000
0.000 4.677 0.000
0.000 0.000 4.052
ATOMIC_POSITIONS angstrom
As 1.591 0.000 2.026
Mg 0.000 2.338 2.026
Ru 0.000 0.000 0.000
Ru 1.591 2.338 0.000

! Mn2Pt GGA-PBE relaxed; values from VASP
! - VASP energy (eV per atom) = -7.7879
! - M_tot (μB/f.u.) = 0.0
! - formation energy from the elements (eV per atom) = 0.339
&SYSTEM
  ibrav = 0, nat = 6, ntyp = 2
/
ATOMIC_SPECIES
Mn 54.94 Mn.upf
Pt 195.08 Pt.upf
CELL_PARAMETERS angstrom
-1.726 1.726 6.787
1.726 -1.726 6.787
1.726 1.726 -6.787
ATOMIC_POSITIONS angstrom
Mn 1.726 0.000 4.512
Mn 1.726 0.000 2.274
Mn 0.000 0.000 7.906
Mn 0.000 0.000 5.668
Pt 0.000 0.000 0.000
Pt 0.000 1.726 3.393